# SrThAg

A geometry-optimized SrThAg structure (PBE, Alexandria via LeMat-Bulk).

Cell and atoms, written as POSCAR:
```
SrThAg
1.0
16.198 0.000 0.000
0.000 3.744 0.000
0.000 0.000 6.482
Sr Th Ag
4 4 4
direct
0.151 0.000 0.000 Sr
0.151 0.500 0.500 Sr
0.849 0.000 0.000 Sr
0.849 0.500 0.500 Sr
0.354 0.000 0.665 Th
0.354 0.500 0.165 Th
0.646 0.000 0.665 Th
0.646 0.500 0.165 Th
0.000 0.000 0.667 Ag
0.000 0.500 0.167 Ag
0.500 0.000 0.998 Ag
0.500 0.500 0.498 Ag
```

Properties
DOS(E_F) ... 17.6 states/eV per cell
Symmetry ... No. 38
M_tot ... 0.0000 μB per atom
DFT total energy ... -45.45 eV per cell